This record from OQMD via LeMat-Bulk describes a geometry-optimized Hf2BePt structure. The functional is GGA-PBE.

Cell: 6.451 6.451 6.451 Å, 90.00 90.00 90.00°
Space group F-43m (No. 216)
Inequivalent atoms, fractional coordinates:
Hf  0.000  0.000  0.000 x4
Hf  0.250  0.250  0.250 x4
Be  0.000  0.000  0.500 x4
Pt  0.250  0.250  0.750 x4

Results
- calculated density (g/cm3) = 13.880
- V (A^3/atom) = 16.78
- E (eV per atom) = -7.532
- crystal system = cubic